{"formula": "ErTm5Sn4", "functional": "PBE-GGA", "state": "relaxed", "e_tot_ev_per_atom": -4.608, "magmom_total_mub_per_fu": 0.0, "lattice_angstrom": [[8.637, -1.795, 0.000], [8.637, 1.795, 0.000], [-0.446, 0.000, 9.423]], "species": ["Er", "Tm", "Tm", "Tm", "Tm", "Tm", "Sn", "Sn", "Sn", "Sn"], "frac_coords": [[0.000, 0.000, 0.000], [0.000, 0.000, 0.500], [0.308, 0.308, 0.620], [0.348, 0.348, 0.241], [0.652, 0.652, 0.759], [0.692, 0.692, 0.380], [0.184, 0.184, 0.062], [0.474, 0.474, 0.747], [0.526, 0.526, 0.253], [0.816, 0.816, 0.938]]}